No. 1
La2TmAu6 | PBE | relaxed Values from VASP.

## Properties
* DOS at the Fermi energy: 5.5 states/eV/f.u.
* space group: P-3m1
* spin magnetization: 0.000 μB per formula unit
* E_form: -700 meV/atom
* final energy: -4.477 eV per atom

Geometry as Quantum ESPRESSO input:
```
&SYSTEM
  ibrav = 0, nat = 9, ntyp = 3
/
ATOMIC_SPECIES
La 138.91 La.upf
Tm 168.93 Tm.upf
Au 196.97 Au.upf
CELL_PARAMETERS angstrom
6.703 0.000 0.000
-3.351 5.805 0.000
0.000 0.000 5.577
ATOMIC_POSITIONS crystal
La 0.333 0.667 0.329
La 0.667 0.333 0.671
Tm 0.000 0.000 0.500
Au 0.187 0.375 0.819
Au 0.187 0.813 0.819
Au 0.375 0.187 0.181
Au 0.625 0.813 0.819
Au 0.813 0.187 0.181
Au 0.813 0.625 0.181
```



No. 2
LaTm4Au5 | PBE | relaxed Values from VASP.

## Properties
* DOS at the Fermi energy: 4.3 states/eV/f.u.
* space group: P4/mmm
* spin magnetization: 0.000 μB per formula unit
* E_form: -871 meV/atom
* final energy: -4.791 eV per atom

Geometry as Quantum ESPRESSO input:
```
&SYSTEM
  ibrav = 0, nat = 10, ntyp = 3
/
ATOMIC_SPECIES
La 138.91 La.upf
Tm 168.93 Tm.upf
Au 196.97 Au.upf
CELL_PARAMETERS angstrom
3.561 0.000 0.000
0.000 3.561 0.000
0.000 0.000 18.305
ATOMIC_POSITIONS crystal
La 0.000 0.000 0.000
Tm 0.000 0.000 0.207
Tm 0.000 0.000 0.402
Tm 0.000 0.000 0.598
Tm 0.000 0.000 0.793
Au 0.500 0.500 0.118
Au 0.500 0.500 0.305
Au 0.500 0.500 0.500
Au 0.500 0.500 0.695
Au 0.500 0.500 0.882
```



No. 3
LaTmAu3 | PBE | relaxed Values from VASP.

## Properties
* DOS at the Fermi energy: 4.3 states/eV/f.u.
* space group: Cmcm
* spin magnetization: 0.000 μB per formula unit
* E_form: -851 meV/atom
* final energy: -4.698 eV per atom

Geometry as Quantum ESPRESSO input:
```
&SYSTEM
  ibrav = 0, nat = 10, ntyp = 3
/
ATOMIC_SPECIES
La 138.91 La.upf
Tm 168.93 Tm.upf
Au 196.97 Au.upf
CELL_PARAMETERS angstrom
1.851 -14.178 0.000
1.851 14.178 0.000
0.000 0.000 4.607
ATOMIC_POSITIONS crystal
La 0.074 0.926 0.750
La 0.926 0.074 0.250
Tm 0.208 0.792 0.250
Tm 0.792 0.208 0.750
Au 0.312 0.688 0.250
Au 0.374 0.626 0.750
Au 0.473 0.527 0.750
Au 0.527 0.473 0.250
Au 0.626 0.374 0.250
Au 0.688 0.312 0.750
```



No. 4
LaTmZnAu | PBE | relaxed Values from VASP.

## Properties
* DOS at the Fermi energy: 2.2 states/eV/f.u.
* space group: F-43m
* spin magnetization: 0.000 μB per formula unit
* E_form: -549 meV/atom
* final energy: -4.037 eV per atom
* ΔE to the lowest computed polymorph: 0.0359 eV per atom

Geometry as Quantum ESPRESSO input:
```
&SYSTEM
  ibrav = 0, nat = 4, ntyp = 4
/
ATOMIC_SPECIES
La 138.91 La.upf
Tm 168.93 Tm.upf
Zn 65.41 Zn.upf
Au 196.97 Au.upf
CELL_PARAMETERS angstrom
0.000 3.667 3.667
3.667 0.000 3.667
3.667 3.667 0.000
ATOMIC_POSITIONS crystal
La 0.000 0.000 0.000
Tm 0.500 0.500 0.500
Zn 0.250 0.250 0.250
Au 0.750 0.750 0.750
```



No. 5
LaTmZn2Au5 | PBE | relaxed Values from VASP.

## Properties
* DOS at the Fermi energy: 3.6 states/eV/f.u.
* space group: P4/mmm
* spin magnetization: 0.000 μB per formula unit
* E_form: -480 meV/atom
* final energy: -3.628 eV per atom

Geometry as Quantum ESPRESSO input:
```
&SYSTEM
  ibrav = 0, nat = 9, ntyp = 4
/
ATOMIC_SPECIES
La 138.91 La.upf
Tm 168.93 Tm.upf
Zn 65.41 Zn.upf
Au 196.97 Au.upf
CELL_PARAMETERS angstrom
4.628 0.000 0.000
0.000 4.628 0.000
0.000 0.000 8.864
ATOMIC_POSITIONS crystal
La 0.000 0.000 0.000
Tm 0.000 0.000 0.500
Zn 0.500 0.500 0.366
Zn 0.500 0.500 0.634
Au 0.000 0.500 0.244
Au 0.000 0.500 0.756
Au 0.500 0.000 0.244
Au 0.500 0.000 0.756
Au 0.500 0.500 0.000
```



No. 6
LaTmZnAu | PBE | relaxed Values from VASP.

## Properties
* DOS at the Fermi energy: 3.3 states/eV/f.u.
* space group: P4mm
* spin magnetization: 0.036 μB per formula unit
* E_form: -585 meV/atom
* final energy: -4.073 eV per atom
* ΔE to the lowest computed polymorph: 0.0000 eV per atom

Geometry as Quantum ESPRESSO input:
```
&SYSTEM
  ibrav = 0, nat = 4, ntyp = 4
/
ATOMIC_SPECIES
La 138.91 La.upf
Tm 168.93 Tm.upf
Zn 65.41 Zn.upf
Au 196.97 Au.upf
CELL_PARAMETERS angstrom
3.633 0.000 0.000
0.000 3.633 0.000
0.000 0.000 7.391
ATOMIC_POSITIONS crystal
La 0.000 0.000 0.000
Tm 0.000 0.000 0.498
Zn 0.500 0.500 0.274
Au 0.500 0.500 0.707
```



No. 7
La2VAu | PBE | relaxed Values from VASP.

## Properties
* DOS at the Fermi energy: 4.7 states/eV/f.u.
* space group: Fm-3m
* spin magnetization: 3.090 μB per formula unit
* E_form: -59 meV/atom
* final energy: -5.622 eV per atom
* ΔE to the lowest computed polymorph: 0.0000 eV per atom

Geometry as Quantum ESPRESSO input:
```
&SYSTEM
  ibrav = 0, nat = 4, ntyp = 3
/
ATOMIC_SPECIES
La 138.91 La.upf
V 50.94 V.upf
Au 196.97 Au.upf
CELL_PARAMETERS angstrom
0.000 3.762 3.762
3.762 0.000 3.762
3.762 3.762 0.000
ATOMIC_POSITIONS crystal
La 0.250 0.250 0.250
La 0.750 0.750 0.750
V 0.000 0.000 0.000
Au 0.500 0.500 0.500
```



No. 8
LaV2Au | PBE | relaxed Values from VASP.

## Properties
* DOS at the Fermi energy: 6.7 states/eV/f.u.
* space group: Fm-3m
* spin magnetization: 0.009 μB per formula unit
* E_form: 407 meV/atom
* final energy: -6.204 eV per atom
* ΔE to the lowest computed polymorph: 0.0112 eV per atom

Geometry as Quantum ESPRESSO input:
```
&SYSTEM
  ibrav = 0, nat = 4, ntyp = 3
/
ATOMIC_SPECIES
La 138.91 La.upf
V 50.94 V.upf
Au 196.97 Au.upf
CELL_PARAMETERS angstrom
0.000 3.296 3.296
3.296 0.000 3.296
3.296 3.296 0.000
ATOMIC_POSITIONS crystal
La 0.000 0.000 0.000
V 0.250 0.250 0.250
V 0.750 0.750 0.750
Au 0.500 0.500 0.500
```